(1)
VASP calculation (PBE-GGA) on a geometry-optimized MnReBr structure.

Values from the calculation:
**E_tot**: -21.06 eV/cell
**Size of the total moment**: 2.6 μB per cell
**Energy above the lowest structure with this stoichiometry**: 157 meV/atom
**Space-group type**: No. 42

Lattice parameters (Å, degrees): 7.1454 6.8609 2.9686 83.19 72.44 24.36
Last column: nearest neighbours and their distance in Å.
Sites, in units of the cell vectors:
Br1 0.0162 0.0162 0.9838  2 Mn 2.61
Re1 0.3108 0.3108 0.6892  2 Mn 2.41
Mn1 0.6730 0.6730 0.3270  2 Re 2.41, 2 Br 2.61

=====

(2)
VASP calculation (PBE-GGA) on a geometry-optimized InAg2 structure.

Values from the calculation:
**E_tot**: -33.84 eV/cell
**Size of the total moment**: 0.0 μB per cell
**Energy relative to the elements**: -0.02 eV per formula unit
**Space-group type**: No. 15

Lattice parameters (Å, degrees): 4.2246 13.5669 4.2246 80.97 89.93 80.97
Last column: nearest neighbours and their distance in Å.
Sites, in units of the cell vectors:
Ag1 0.8331 0.3343 0.3333  6 In 2.99-3.13, 6 Ag 3.04-3.07
In1 0.3303 0.3397 0.8302  10 Ag 2.99-3.13, 2 In 3.17-3.18
Ag2 0.4995 0.0003 0.9994  8 Ag 2.98-3.05, 4 In 2.99-3.00
In2 0.1698 0.6603 0.6698  10 Ag 2.99-3.13, 2 In 3.17-3.18
Ag3 0.6667 0.6657 0.1670  6 In 2.99-3.13, 6 Ag 3.04-3.07
Ag4 0.0006 0.9998 0.5005  8 Ag 2.98-3.05, 4 In 2.99-3.00
In3 0.0802 0.8397 0.0802  10 Ag 2.99-3.13, 2 In 3.17-3.18
In4 0.9198 0.1603 0.9198  10 Ag 2.99-3.13, 2 In 3.17-3.18
Ag5 0.2494 0.5002 0.2495  8 Ag 2.98-3.05, 4 In 2.99-3.00
Ag6 0.5833 0.8343 0.5831  6 In 2.99-3.13, 6 Ag 3.04-3.07
Ag7 0.4169 0.1657 0.4167  6 In 2.99-3.13, 6 Ag 3.04-3.07
Ag8 0.7505 0.4997 0.7506  8 Ag 2.98-3.05, 4 In 2.99-3.00

=====

(3)
VASP calculation (PBE-GGA) on a geometry-optimized TlRuBr structure.

Values from the calculation:
**E_tot**: -11.49 eV/cell
**Size of the total moment**: 0.0 μB per cell
**Energy above the lowest structure with this stoichiometry**: 95 meV/atom
**Space-group type**: No. 42

Lattice parameters (Å, degrees): 7.8259 7.4439 3.3197 83.98 71.07 24.95
Last column: nearest neighbours and their distance in Å.
Sites, in units of the cell vectors:
Ru1 0.3441 0.3441 0.6559  2 Br 2.48
Tl1 0.6823 0.6823 0.3177  2 Ru 2.85
Br1 0.9736 0.9736 0.0264  2 Ru 2.48

=====

(4)
VASP calculation (PBE-GGA) on a geometry-optimized Ca3PuPa2As6 structure.

Values from the calculation:
**E_tot**: -81.08 eV/cell
**Size of the total moment**: 6.0 μB per cell
**Energy relative to the elements**: -13.85 eV per formula unit
**Space-group type**: No. 12

Lattice parameters (Å, degrees): 7.2745 7.2745 7.2394 99.65 99.65 119.99
Last column: nearest neighbours and their distance in Å.
Sites, in units of the cell vectors:
As1 0.4188 0.0776 0.2323  2 Pa 2.87, 1 Pu 2.95, 3 Ca 3.01-3.06
As2 0.9224 0.5812 0.7677  2 Pa 2.87, 1 Pu 2.95, 3 Ca 3.01-3.06
As3 0.5812 0.9224 0.7677  2 Pa 2.87, 1 Pu 2.95, 3 Ca 3.01-3.06
Ca1 0.1647 0.8353 0.5000  6 As 3.01-3.06
Ca2 0.8353 0.1647 0.5000  6 As 3.01-3.06
Pu1 0.0000 0.0000 0.0000  6 As 2.95
As4 0.2638 0.2638 0.7674  2 Pa 2.88, 1 Pu 2.95, 3 Ca 2.99-3.04
Pa1 0.3330 0.6670 0.0000  6 As 2.87-2.88
Ca3 0.5000 0.5000 0.5000  6 As 2.99-3.06
Pa2 0.6670 0.3330 0.0000  6 As 2.87-2.88
As5 0.7362 0.7362 0.2326  2 Pa 2.88, 1 Pu 2.95, 3 Ca 2.99-3.04
As6 0.0776 0.4188 0.2323  2 Pa 2.87, 1 Pu 2.95, 3 Ca 3.01-3.06

=====

(5)
VASP calculation (PBE-GGA) on a geometry-optimized LaDyTh2As4 structure.

Values from the calculation:
**E_tot**: -54.77 eV/cell
**Size of the total moment**: 0.0 μB per cell
**Energy relative to the elements**: -11.81 eV per formula unit
**Space-group type**: No. 10

Lattice parameters (Å, degrees): 4.2573 7.3494 7.3708 70.41 90.00 90.00
Last column: nearest neighbours and their distance in Å.
Sites, in units of the cell vectors:
As1 0.5000 0.7528 0.2435  3 Th 2.98-3.03, 1 Dy 2.98, 2 La 3.03
As2 0.5000 0.2472 0.7565  3 Th 2.98-3.03, 1 Dy 2.98, 2 La 3.03
Th1 0.5000 0.0000 0.5000  6 As 3.03
La1 0.0000 0.5000 0.5000  6 As 3.03
As3 0.0000 0.7480 0.7564  2 Dy 2.98, 3 Th 2.98-3.03, 1 La 3.03
Dy1 0.5000 0.5000 0.0000  6 As 2.98
Th2 0.0000 0.0000 0.0000  6 As 2.98
As4 0.0000 0.2520 0.2436  2 Dy 2.98, 3 Th 2.98-3.03, 1 La 3.03

=====

(6)
VASP calculation (PBE-GGA) on a geometry-optimized ZrInMo structure.

Values from the calculation:
**E_tot**: -41.03 eV/cell
**Size of the total moment**: 1.4 μB per cell
**Energy above the lowest structure with this stoichiometry**: 528 meV/atom
**Energy relative to the elements**: 1.60 eV per formula unit
**Space-group type**: No. 166

Lattice parameters (Å, degrees): 4.4877 4.4877 8.3835 74.48 74.48 60.00
Last column: nearest neighbours and their distance in Å.
Sites, in units of the cell vectors:
Zr1 0.6213 0.6213 0.1361  4 Mo 2.81-2.90, 3 In 3.14
Mo1 0.0000 0.0000 0.0000  6 Zr 2.81, 2 In 2.86
In1 0.1197 0.1197 0.6409  4 Mo 2.82-2.86, 3 Zr 3.14
Mo2 0.5000 0.5000 0.5000  6 In 2.82, 2 Zr 2.90
Zr2 0.3787 0.3787 0.8639  4 Mo 2.81-2.90, 3 In 3.14
In2 0.8803 0.8803 0.3591  4 Mo 2.82-2.86, 3 Zr 3.14

=====

(7)
VASP calculation (PBE-GGA) on a geometry-optimized Ba2SbRh structure.

Values from the calculation:
**E_tot**: -16.37 eV/cell
**Size of the total moment**: 0.1 μB per cell
**Space-group type**: No. 99

Lattice parameters (Å, degrees): 3.7902 3.7902 9.7274 90.00 90.00 90.00
Last column: nearest neighbours and their distance in Å.
Sites, in units of the cell vectors:
Ba1 0.0000 0.0000 0.9169  1 Rh 3.23, 4 Sb 3.60
Ba2 0.5000 0.5000 0.3287  1 Sb 3.31, 4 Rh 3.66
Sb1 0.5000 0.5000 0.6695  4 Rh 2.80
Rh1 0.0000 0.0000 0.5849  4 Sb 2.80

=====

(8)
VASP calculation (PBE-GGA) on a geometry-optimized Nd5Te5Au structure.

Values from the calculation:
**E_tot**: -57.12 eV/cell
**Size of the total moment**: 0.0 μB per cell
**Space-group type**: No. 12

Lattice parameters (Å, degrees): 6.3538 7.7400 8.8934 106.94 90.00 114.23
Last column: nearest neighbours and their distance in Å.
Sites, in units of the cell vectors:
Nd1 0.8389 0.6778 0.1636  1 Au 3.07, 5 Te 3.13-3.21
Nd2 0.1611 0.3222 0.8364  1 Au 3.07, 5 Te 3.13-3.21
Te1 0.3281 0.6563 0.6648  5 Nd 3.15-3.19
Te2 0.6642 0.3284 0.8272  5 Nd 3.16-3.21
Nd3 0.8383 0.6766 0.6708  1 Au 3.08, 5 Te 3.12-3.19
Te3 0.3358 0.6716 0.1728  5 Nd 3.16-3.21
Te4 0.0000 0.0000 0.5000  4 Nd 3.12-3.13
Nd4 0.1617 0.3234 0.3292  1 Au 3.08, 5 Te 3.12-3.19
Nd5 0.5000 0.0000 0.0000  4 Te 3.16-3.19, 2 Au 3.18
Au1 0.0000 0.0000 0.0000  6 Nd 3.07-3.18
Te5 0.6719 0.3437 0.3352  5 Nd 3.15-3.19